No. 1
The following is a DFT calculation (PBE) of a geometry-optimized TcHgF2 structure.

Summary:
**Magnetization**: 1.250 μB/atom
**E above lowest polymorph**: 0.351 eV/atom

```
data_TcHgF2
_cell_length_a 5.345
_cell_length_b 5.345
_cell_length_c 13.444
_cell_angle_alpha 90.00
_cell_angle_beta 90.00
_cell_angle_gamma 90.00
_space_group_name_H-M_alt 'I -4 2 d'
_space_group_IT_number 122
_space_group_name_Hall 'I -4 2bw'
loop_
_atom_site_label
_atom_site_fract_x
_atom_site_fract_y
_atom_site_fract_z
_atom_site_occupancy
Tc1 0.000 0.000 0.000 1
Hg1 0.000 0.000 0.500 1
F1 0.063 0.250 0.125 1
```



No. 2
The following is a DFT calculation (PBE) of a geometry-optimized Tb2ErSb structure.

Summary:
**Magnetization**: 0.000 μB/atom
**E above lowest polymorph**: 0.055 eV/atom

```
data_Tb2ErSb
_cell_length_a 4.774
_cell_length_b 4.774
_cell_length_c 4.786
_cell_angle_alpha 90.00
_cell_angle_beta 90.00
_cell_angle_gamma 90.00
_space_group_name_H-M_alt 'P 4/m m m'
_space_group_IT_number 123
_space_group_name_Hall '-P 4 2'
loop_
_atom_site_label
_atom_site_fract_x
_atom_site_fract_y
_atom_site_fract_z
_atom_site_occupancy
Tb1 0.000 0.500 0.000 1
Er1 0.000 0.000 0.500 1
Sb1 0.500 0.500 0.500 1
```



No. 3
The following is a DFT calculation (PBE) of a geometry-optimized Cu2RuCl8 structure.

Summary:
**Magnetization**: 0.176 μB/atom
**E above lowest polymorph**: 0.000 eV/atom

```
data_Cu2RuCl8
_cell_length_a 9.121
_cell_length_b 10.955
_cell_length_c 5.970
_cell_angle_alpha 90.00
_cell_angle_beta 102.41
_cell_angle_gamma 90.00
_space_group_name_H-M_alt 'C 1 2/m 1'
_space_group_IT_number 12
loop_
_space_group_symop_operation_xyz
'x,y,z'
'-x,-y,-z'
'-x,y,-z'
'x,-y,z'
'x+1/2,y+1/2,z'
'-x+1/2,-y+1/2,-z'
'-x+1/2,y+1/2,-z'
'x+1/2,-y+1/2,z'
loop_
_atom_site_label
_atom_site_fract_x
_atom_site_fract_y
_atom_site_fract_z
_atom_site_occupancy
Cu1 0.191 0.000 0.015 1
Ru1 0.000 0.500 0.500 1
Cl1 0.028 0.000 0.255 1
Cl2 0.134 0.354 0.748 1
Cl3 0.194 0.500 0.294 1
```



No. 4
The following is a DFT calculation (PBE) of a geometry-optimized ErV4 structure.

Summary:
**Energy relative to the elements**: 2.047 eV/atom
**Magnetization**: 0.161 μB/atom

```
data_ErV4
_cell_length_a 4.665
_cell_length_b 4.665
_cell_length_c 4.665
_cell_angle_alpha 90.00
_cell_angle_beta 90.00
_cell_angle_gamma 90.00
_space_group_name_H-M_alt 'P m -3 m'
_space_group_IT_number 221
_space_group_name_Hall '-P 4 2 3'
loop_
_atom_site_label
_atom_site_fract_x
_atom_site_fract_y
_atom_site_fract_z
_atom_site_occupancy
Er1 0.000 0.000 0.000 1
V1 0.000 0.000 0.500 1
V2 0.500 0.500 0.500 1
```



No. 5
The following is a DFT calculation (PBE) of a geometry-optimized CsReSb2I structure.

Summary:
**Magnetization**: 0.000 μB/atom
**E above lowest polymorph**: 0.000 eV/atom

```
data_CsReSb2I
_cell_length_a 5.184
_cell_length_b 5.184
_cell_length_c 6.418
_cell_angle_alpha 90.00
_cell_angle_beta 90.00
_cell_angle_gamma 90.00
_space_group_name_H-M_alt 'P 4/m m m'
_space_group_IT_number 123
_space_group_name_Hall '-P 4 2'
loop_
_atom_site_label
_atom_site_fract_x
_atom_site_fract_y
_atom_site_fract_z
_atom_site_occupancy
Cs1 0.000 0.000 0.000 1
Re1 0.500 0.500 0.500 1
Sb1 0.000 0.500 0.500 1
I1 0.500 0.500 0.000 1
```



no.,VASP energy (eV per atom)
1,-4.239
2,-4.966
3,-3.348
4,-6.160
5,-4.486